Record 1
DFT (GGA-PBE) results for a relaxed PmGa4IrAu2 crystal.

The structure belongs to space group R-3m (No. 166, hexagonal axes); the cell edges are 4.3660, 4.3660 and 29.3057 Å and the angles 90.00°, 90.00° and 120.00°. Symmetry generates all atoms from Pm at (0.0000, 0.0000, 0.0000), Ga at (0.0000, 0.0000, 0.1409), Ga at (0.0000, 0.0000, 0.4133), Ir at (0.0000, 0.0000, 0.5000) and Au at (0.0000, 0.0000, 0.2727).

The total moment comes out at 0.00 Bohr magnetons per cell. Its total energy is -4.468 eV/atom.

Record 2
DFT (GGA-PBE) results for a relaxed Ac5La3Br12 crystal.

The structure belongs to space group Ia-3d (No. 230); the cell edges are 18.2474, 18.2474 and 18.2474 Å and the angles 90.00°, 90.00° and 90.00°. Symmetry generates all atoms from Ac at (0.0000, 0.0000, 0.0000), Ac at (0.0000, 0.2500, 0.3750), La at (0.0000, 0.2500, 0.1250) and Br at (0.0128, 0.0790, 0.6508).

For the raw formation energy, the calculation gives -1206 meV/atom. The total moment comes out at 75.90 Bohr magnetons per cell. Its total energy is -3.976 eV/atom.

Record 3
DFT (GGA-PBE) results for a relaxed ScTiRe2Te crystal.

The structure belongs to space group P4/mmm (No. 123); the cell edges are 4.8433, 4.8433 and 4.9552 Å and the angles 90.00°, 90.00° and 90.00°. Symmetry generates all atoms from Sc at (0.0000, 0.0000, 0.0000), Ti at (0.5000, 0.5000, 0.0000), Re at (0.0000, 0.5000, 0.5000) and Te at (0.0000, 0.0000, 0.5000).

For the raw formation energy, the calculation gives 1646 meV/atom. The total moment comes out at 0.00 Bohr magnetons per cell. Its total energy is -6.807 eV/atom.

Record 4
DFT (GGA-PBE) results for a relaxed UInPdPt crystal.

The structure belongs to space group F-43m (No. 216); the cell edges are 6.8341, 6.8341 and 6.8341 Å and the angles 90.00°, 90.00° and 90.00°. Symmetry generates all atoms from U at (0.0000, 0.0000, 0.0000), In at (0.0000, 0.0000, 0.5000), Pd at (0.2500, 0.2500, 0.7500) and Pt at (0.2500, 0.2500, 0.2500).

The total moment comes out at 8.50 Bohr magnetons per cell. Its total energy is -6.798 eV/atom.